Here is a relaxed NpUNbOs crystal from Alexandria. Energies are from PBE.

Output
As for the symmetry: F-43m (216). For the magnetic moment, the calculation gives 4.45 μB/f.u. The value obtained for the total energy is -11.287 eV/atom.

Cell lengths 4.7116, 4.7116, 4.7116 Å; angles 60.00, 60.00, 60.00 degrees
Each line ends with the local moment (μB).
Sites, in units of the cell vectors:
Np 0.2500 0.2500 0.2500  2.85
Os 0.0000 0.0000 0.0000  -0.05
Nb 0.7500 0.7500 0.7500  0.06
U 0.5000 0.5000 0.5000  1.47